No. 1
VASP calculation (PBE) on an optimized crystal structure of TaBeAg2.

Space-group type: Imm2
Total magnetic moment: 0.0 μB per cell
ΔH_f (0 K): 395 meV/atom
E_tot: -4.926 eV per atom

The structure in extended XYZ format:
```
4
Lattice="-1.3907 2.3591 4.8208 1.3907 -2.3591 4.8208 1.3907 2.3591 -4.8208" Properties=species:S:1:pos:R:3 pbc="T T T"
Ta 0.0000 0.0000 0.0000
Be 1.3907 0.0000 2.1546
Ag 0.0000 0.0000 4.0924
Ag 0.0000 2.3591 2.0386
```

***

No. 2
VASP calculation (PBE) on an optimized crystal structure of K2ScRu.

Space-group type: Fm-3m
Offset from the most stable computed form: 4.63 eV per formula unit
Total magnetic moment: 0.0 μB per cell
ΔH_f (0 K): 1439 meV/atom
E_tot: -3.012 eV per atom

The structure in extended XYZ format:
```
4
Lattice="0.0000 3.8324 3.8324 3.8324 0.0000 3.8324 3.8324 3.8324 0.0000" Properties=species:S:1:pos:R:3 pbc="T T T"
K 1.9162 1.9162 1.9162
K 5.7486 5.7486 5.7486
Sc 0.0000 0.0000 0.0000
Ru 3.8324 3.8324 3.8324
```

***

No. 3
VASP calculation (PBE) on an optimized crystal structure of Ba2BiAuSe5.

Space-group type: Cmc2_1
Energy relative to the elements, uncorrected: -0.96 eV per atom
Total magnetic moment: 0.0 μB per cell
E_tot: -4.115 eV per atom

The structure in extended XYZ format:
```
18
Lattice="2.1602 -9.6599 0.0000 2.1602 9.6599 0.0000 0.0000 0.0000 13.1674" Properties=species:S:1:pos:R:3 pbc="T T T"
Ba 2.1602 7.3467 6.5837
Ba 2.1602 7.3213 1.7893
Ba 2.1602 -7.3213 8.3730
Ba 2.1602 -7.3467 0.0000
Bi 2.1602 5.7303 10.9971
Bi 2.1602 -5.7303 4.4134
Au 2.1602 0.9188 3.0433
Au 2.1602 -0.9188 9.6270
Se 2.1602 9.1021 10.9562
Se 2.1602 4.0077 6.4146
Se 2.1602 3.5836 2.3161
Se 2.1602 2.9889 10.7636
Se 2.1602 0.0772 7.2690
Se 2.1602 -0.0772 0.6853
Se 2.1602 -2.9889 4.1799
Se 2.1602 -3.5836 8.8998
Se 2.1602 -4.0077 12.9983
Se 2.1602 -9.1021 4.3725
```

***

No. 4
VASP calculation (PBE) on an optimized crystal structure of MnCdPd6.

Space-group type: P4/mmm
Offset from the most stable computed form: 0.00 eV per formula unit
Total magnetic moment: 4.0 μB per cell
ΔH_f (0 K): -230 meV/atom
E_tot: -5.385 eV per atom

The structure in extended XYZ format:
```
8
Lattice="3.9694 0.0000 0.0000 0.0000 3.9694 0.0000 0.0000 0.0000 7.9730" Properties=species:S:1:pos:R:3 pbc="T T T"
Mn 0.0000 0.0000 0.0000
Cd 0.0000 0.0000 3.9865
Pd 0.0000 1.9847 1.9127
Pd 0.0000 1.9847 6.0603
Pd 1.9847 0.0000 1.9127
Pd 1.9847 0.0000 6.0603
Pd 1.9847 1.9847 0.0000
Pd 1.9847 1.9847 3.9865
```

***

No. 5
VASP calculation (PBE) on an optimized crystal structure of Sr2LiHPb.

Space-group type: P4/mmm
Offset from the most stable computed form: 0.01 eV per formula unit
Total magnetic moment: 0.0 μB per cell
E_tot: -2.915 eV per atom

The structure in extended XYZ format:
```
5
Lattice="5.4162 0.0000 0.0000 0.0000 5.4162 0.0000 0.0000 0.0000 4.5203" Properties=species:S:1:pos:R:3 pbc="T T T"
Sr 0.0000 2.7081 0.0000
Sr 2.7081 0.0000 0.0000
Li 0.0000 0.0000 2.2602
H 0.0000 0.0000 0.0000
Pb 2.7081 2.7081 2.2602
```

***

No. 6
VASP calculation (PBE) on an optimized crystal structure of Na2SnH6Ru.

Space-group type: C2/m
Total magnetic moment: 0.0 μB per cell
E_tot: -3.635 eV per atom

The structure in extended XYZ format:
```
10
Lattice="3.8096 -3.8206 0.0000 3.8096 3.8206 0.0000 -3.7991 0.0000 3.8207" Properties=species:S:1:pos:R:3 pbc="T T T"
Na 3.8096 1.9088 0.0000
Na 3.8096 -1.9088 0.0000
Sn -1.8996 0.0000 1.9104
H 1.9101 1.7236 1.9104
H 1.9154 0.0000 0.1865
H 0.1878 0.0000 1.9262
H 3.6323 0.0000 1.8945
H 1.9047 0.0000 3.6342
H 1.9101 -1.7236 1.9104
Ru 1.9101 0.0000 1.9104
```

***

No. 7
VASP calculation (PBE) on an optimized crystal structure of PmZrSn2.

Space-group type: R-3m
Total magnetic moment: 0.0 μB per cell
ΔH_f (0 K): -371 meV/atom
E_tot: -5.697 eV per atom

The structure in extended XYZ format:
```
4
Lattice="1.7062 0.9850 10.2391 -1.7062 0.9850 10.2391 0.0000 -1.9701 10.2391" Properties=species:S:1:pos:R:3 pbc="T T T"
Pm 0.0000 0.0000 0.0000
Zr 0.0000 0.0000 15.3587
Sn 0.0000 0.0000 7.5220
Sn 0.0000 0.0000 23.1954
```

***

No. 8
VASP calculation (PBE) on an optimized crystal structure of ZrTi2Zn.

Space-group type: P4/mmm
Total magnetic moment: 0.0 μB per cell
ΔH_f (0 K): -60 meV/atom
E_tot: -6.463 eV per atom

The structure in extended XYZ format:
```
4
Lattice="3.0749 0.0000 0.0000 0.0000 3.0749 0.0000 0.0000 0.0000 7.6315" Properties=species:S:1:pos:R:3 pbc="T T T"
Zr 0.0000 0.0000 0.0000
Ti 1.5375 1.5375 2.1078
Ti 1.5375 1.5375 5.5237
Zn 0.0000 0.0000 3.8158
```